Record 1
Material: Co3Cu3Te2O16
Method: DFT, meta-GGA SCAN
State: PBEsol geometry

abc: 5.589 5.783 9.055
angles: 93.17 90.01 118.90
Site moments in Bohr magnetons follow the coordinates.
Atoms (fractional coordinates):
1 Co 0.829 0.659 0.783  -0.04
2 Co 0.660 0.827 0.288  -0.28
3 Co 0.167 0.827 0.288  -0.28
4 Cu 0.830 0.161 0.787  -0.14
5 Cu 0.331 0.161 0.787  -0.14
6 Cu 0.167 0.333 0.287  0.87
7 Te 0.676 0.352 0.509  0.02
8 Te 0.325 0.651 0.011  -0.01
9 O 0.840 0.165 0.403  0.07
10 O 0.527 0.055 0.651  0.00
11 O 0.679 0.358 0.876  0.02
12 O 0.985 0.970 0.696  -0.06
13 O 0.985 0.969 0.195  -0.17
14 O 0.325 0.165 0.403  0.07
15 O 0.987 0.524 0.650  -0.13
16 O 0.537 0.524 0.650  -0.13
17 O 0.150 0.301 0.911  0.00
18 O 0.843 0.685 0.400  -0.03
19 O 0.491 0.520 0.164  0.15
20 O 0.029 0.520 0.164  0.15
21 O 0.347 0.693 0.389  0.10
22 O 0.661 0.813 0.911  -0.04
23 O 0.477 0.954 0.169  0.00
24 O 0.151 0.813 0.912  -0.04

Raw formation energy in eV/f.u.: -21.8
E in eV per atom: -12.23
Spin magnetization in μB/cell: 0.03



Record 2
Material: ZrCo2CuO
Method: DFT, meta-GGA SCAN
State: PBEsol geometry

abc: 3.896 3.896 3.928
angles: 90.00 90.00 90.00
Site moments in Bohr magnetons follow the coordinates.
Atoms (fractional coordinates):
1 O 0.000 0.000 0.000  0.01
2 Co 0.000 0.500 0.000  1.11
3 Co 0.500 0.000 0.000  1.11
4 Cu 0.000 0.000 0.500  -0.02
5 Zr 0.500 0.500 0.500  -0.27

Raw formation energy in eV/f.u.: -0.3
E in eV per atom: -17.42
Spin magnetization in μB/cell: 1.70



Record 3
Material: Co2Cu2Os
Method: DFT, meta-GGA SCAN
State: PBEsol geometry

abc: 3.177 3.177 6.467
angles: 104.22 104.22 90.00
Site moments in Bohr magnetons follow the coordinates.
Atoms (fractional coordinates):
1 Co 0.404 0.404 0.808  1.51
2 Co 0.596 0.596 0.192  1.51
3 Os 0.000 0.000 0.000  0.94
4 Cu 0.250 0.750 0.500  0.05
5 Cu 0.750 0.250 0.500  0.05

E in eV per atom: -26.68
Spin magnetization in μB/cell: 4.07
Energy of formation in eV per atom: 0.6925



Record 4
Material: CoCu3P
Method: DFT, meta-GGA SCAN
State: PBEsol geometry

abc: 4.279 4.279 4.279
angles: 90.00 90.00 90.00
Site moments in Bohr magnetons follow the coordinates.
Atoms (fractional coordinates):
1 P 0.500 0.500 0.500  0.15
2 Co 0.000 0.000 0.000  1.88
3 Cu 0.000 0.500 0.000  0.13
4 Cu 0.000 0.000 0.500  0.13
5 Cu 0.500 0.000 0.000  0.13

E in eV per atom: -13.44
Spin magnetization in μB/cell: 2.35
Energy of formation in eV per atom: 1.2249



Record 5
Material: Co2CuP
Method: DFT, meta-GGA SCAN
State: PBEsol geometry

abc: 2.637 3.756 4.583
angles: 90.00 106.72 90.00
Site moments in Bohr magnetons follow the coordinates.
Atoms (fractional coordinates):
1 Co 0.810 0.000 0.995  1.14
2 Co 0.426 0.500 0.227  1.45
3 Cu 0.072 0.000 0.521  0.02
4 P 0.692 0.500 0.757  -0.01

E in eV per atom: -14.99
Spin magnetization in μB/cell: 2.50
Energy of formation in eV per atom: 0.0584
Energy above the most stable polymorph in this dataset in eV per atom: 0.058



Record 6
Material: Co2CuP
Method: DFT, meta-GGA SCAN
State: PBEsol geometry

abc: 3.201 3.581 3.581
angles: 90.00 90.00 90.00
Site moments in Bohr magnetons follow the coordinates.
Atoms (fractional coordinates):
1 Co 0.000 0.000 0.500  0.97
2 Co 0.000 0.500 0.000  0.97
3 Cu 0.500 0.500 0.500  0.14
4 P 0.500 0.000 0.000  0.03

E in eV per atom: -15.02
Spin magnetization in μB/cell: 2.00
Energy of formation in eV per atom: 0.0281
Energy above the most stable polymorph in this dataset in eV per atom: 0.028



Record 7
Material: Co2CuP
Method: DFT, meta-GGA SCAN
State: PBEsol geometry

abc: 3.488 3.861 4.021
angles: 118.69 115.70 90.00
Atoms (fractional coordinates):
1 Co 0.727 0.727 0.454
2 Co 0.273 0.273 0.546
3 Cu 0.500 0.000 0.000
4 P 0.000 0.500 0.000

E in eV per atom: -15.05
Spin magnetization in μB/cell: 0.00
Energy of formation in eV per atom: 0.0001
Energy above the most stable polymorph in this dataset in eV per atom: 0.000



Record 8
Material: Co2CuP
Method: DFT, meta-GGA SCAN
State: PBEsol geometry

abc: 3.422 3.422 4.331
angles: 113.27 113.27 90.00
Site moments in Bohr magnetons follow the coordinates.
Atoms (fractional coordinates):
1 Co 0.000 0.000 0.000  1.41
2 Co 0.750 0.250 0.500  1.37
3 Cu 0.500 0.500 0.000  0.10
4 P 0.250 0.750 0.500  0.04

E in eV per atom: -14.99
Spin magnetization in μB/cell: 2.79
Energy of formation in eV per atom: 0.0659
Energy above the most stable polymorph in this dataset in eV per atom: 0.066